Record 1
{"formula": "Tb2CeHo3Se6", "functional": "PBE-GGA", "state": "relaxed", "sg": "C2/m (12)", "cell": [[-0.3781, 1.4905, 3.7697], [-5.4902, -5.8819, 1.7750], [8.0085, -4.4283, 0.3557]], "species": ["Ho", "Se", "Tb", "Tb", "Se", "Se", "Se", "Ho", "Se", "Ce", "Ho", "Se"], "frac_coords": [[0.8352, 0.1658, 0.6704], [0.9992, 0.2592, 0.9984], [0.8355, 0.6710, 0.6710], [0.1645, 0.3290, 0.3290], [0.3330, 0.4148, 0.6659], [0.0008, 0.7408, 0.0016], [0.6670, 0.5852, 0.3341], [0.5000, 0.5000, 0.0000], [0.6709, 0.0825, 0.3417], [0.5000, 0.0000, 0.0000], [0.1648, 0.8342, 0.3296], [0.3291, 0.9175, 0.6583]]}

---

Record 2
{"formula": "Tb3CeHo2Se6", "functional": "PBE-GGA", "state": "relaxed", "sg": "C2/m (12)", "cell": [[-3.4725, -0.1216, -2.1412], [1.8651, -7.6011, -2.5932], [-2.8481, -1.4191, 8.5894]], "species": ["Se", "Ho", "Se", "Se", "Ce", "Se", "Ho", "Tb", "Tb", "Se", "Se", "Tb"], "frac_coords": [[0.6688, 0.5810, 0.3375], [0.8355, 0.6710, 0.6709], [0.3294, 0.9123, 0.6588], [0.0015, 0.2577, 0.0029], [0.5000, 0.0000, 0.0000], [0.6706, 0.0877, 0.3412], [0.1645, 0.3290, 0.3291], [0.1636, 0.8341, 0.3272], [0.5000, 0.5000, 0.0000], [0.9985, 0.7423, 0.9971], [0.3312, 0.4190, 0.6625], [0.8364, 0.1659, 0.6728]]}

---

Record 3
{"formula": "TbCe3Ho2Se6", "functional": "PBE-GGA", "state": "relaxed", "sg": "C2/m (12)", "cell": [[-5.1909, 1.2637, -4.6959], [-0.4230, -5.6090, 4.3536], [-1.3876, 5.2998, 4.7561]], "species": ["Se", "Se", "Se", "Se", "Ce", "Se", "Ce", "Tb", "Ho", "Ce", "Ho", "Se"], "frac_coords": [[0.0793, 0.4148, 0.2377], [0.7432, 0.7432, 0.2367], [0.2568, 0.2568, 0.7633], [0.4148, 0.0793, 0.2377], [0.1656, 0.8344, 0.5000], [0.5852, 0.9207, 0.7623], [0.5000, 0.5000, 0.5000], [0.0000, 0.0000, 0.0000], [0.3332, 0.6668, 0.0000], [0.8344, 0.1656, 0.5000], [0.6668, 0.3332, 0.0000], [0.9207, 0.5852, 0.7623]]}

---

Record 4
{"formula": "Tb4CeHo3Se8", "functional": "PBE-GGA", "state": "relaxed", "sg": "R-3m (166)", "cell": [[8.1885, 0.0000, 0.0000], [0.0000, 8.1826, -0.0100], [-4.0942, -4.0904, 5.7934]], "species": ["Ho", "Se", "Se", "Se", "Tb", "Ho", "Tb", "Se", "Se", "Ce", "Tb", "Tb", "Se", "Se", "Ho", "Se"], "frac_coords": [[0.5000, 0.5000, 0.0000], [0.7473, 0.2501, 0.4946], [0.7477, 0.2501, 0.0028], [0.2517, 0.2541, 0.5034], [0.0000, 0.0000, 0.5000], [0.5000, 0.5000, 0.5000], [0.5000, 0.0000, 0.5000], [0.2550, 0.2501, 0.0028], [0.7450, 0.7499, 0.9972], [0.0000, 0.5000, 0.0000], [0.0000, 0.0000, 0.0000], [0.5000, 0.0000, 0.0000], [0.2523, 0.7499, 0.9972], [0.7483, 0.7459, 0.4966], [0.0000, 0.5000, 0.5000], [0.2527, 0.7499, 0.5054]]}

---

Record 5
{"formula": "Tb2CeHoSe4", "functional": "PBE-GGA", "state": "relaxed", "sg": "P2/m (10)", "cell": [[4.0800, 0.0000, 0.0000], [0.0000, 7.1565, 0.1554], [0.0000, -2.4690, 6.6779]], "species": ["Se", "Tb", "Se", "Tb", "Ce", "Se", "Ho", "Se"], "frac_coords": [[0.5000, 0.2444, 0.2502], [0.0000, 0.5000, 0.5000], [0.5000, 0.7556, 0.7498], [0.5000, 0.0000, 0.5000], [0.5000, 0.5000, 0.0000], [0.0000, 0.2425, 0.7451], [0.0000, 0.0000, 0.0000], [0.0000, 0.7575, 0.2549]]}

---

Record 6
{"formula": "TbCeHo2Se6", "functional": "PBE-GGA", "state": "relaxed", "sg": "R3 (146)", "cell": [[-3.7425, -5.7310, 2.4849], [2.5580, -3.8595, 5.6201], [-3.5954, 0.6789, 6.8201]], "species": ["Se", "Se", "Se", "Se", "Ho", "Ce", "Se", "Se", "Ho", "Tb"], "frac_coords": [[0.2278, 0.9104, 0.2470], [0.3955, 0.7260, 0.7486], [0.1299, 0.3955, 0.7486], [0.7260, 0.1299, 0.7486], [0.0122, 0.0122, 0.9634], [0.8132, 0.8132, 0.5605], [0.9104, 0.6148, 0.2470], [0.6148, 0.2278, 0.2470], [0.5148, 0.5148, 0.4557], [0.3171, 0.3171, 0.0489]]}

---

no.,E (Ry/atom)
1,-0.435
2,-0.435
3,-0.453
4,-0.433
5,-0.440
6,-0.432